Here is a geometry-optimized HfTeI2 structure from Alexandria via LeMat-Bulk. Energies are from GGA-PBE.

POSCAR file:
```
HfTeI2
1.0
0.000 3.778 3.778
3.778 0.000 3.778
3.778 3.778 0.000
Hf Te I
1 1 2
direct
0.000 0.000 0.000
0.500 0.500 0.500
0.250 0.250 0.250
0.750 0.750 0.750
```

ΔE to the lowest computed polymorph: 0.9747 eV per atom
VASP energy: -3.783 eV per atom
SG: No. 225
formation energy from raw total energies: 0.266 eV/atom